Entry 1:
BeTl2Co (GGA-PBEsol, optimized geometry); volume = 69 Å³ per cell; Fermi-level density of states = 2.6 states/eV per cell; raw total energy = -3.55 eV/atom; symmetry = P-1
1.0
3.3191 0.0027 -0.0032
-1.6563 4.0618 0.0156
-0.0058 -1.1867 5.0964
Be Tl Co
1 2 1
direct
0.0000 0.0000 0.5000 Be
0.7511 0.5025 0.7506 Tl
0.2489 0.4975 0.2494 Tl
0.5000 0.0000 0.0000 Co


Entry 2:
BeTl3Co (GGA-PBEsol, optimized geometry); volume = 122 Å³ per cell; Fermi-level density of states = 3.0 states/eV per cell; raw total energy = -3.22 eV/atom; symmetry = Pm-3m
1.0
-4.5454 -1.1601 -1.6277
-0.0687 -3.9506 3.0073
-1.9977 2.7754 3.6003
Be Tl Co
1 3 1
direct
0.5000 0.5000 0.5000 Be
0.0000 0.5000 0.0000 Tl
0.0000 0.0000 0.5000 Tl
0.5000 0.0000 0.0000 Tl
0.0000 0.0000 0.0000 Co